Material: SrCaPPd
Method: DFT, GGA-PBE
State: optimized geometry

Computed properties:
* space group: F-43m (216)
* energy: -4.293 eV/atom
* formation enthalpy at 0 K: -0.7212 eV per atom

Structure (CIF):
```
data_SrCaPPd
_cell_length_a 7.224
_cell_length_b 7.224
_cell_length_c 7.224
_cell_angle_alpha 90.00
_cell_angle_beta 90.00
_cell_angle_gamma 90.00
_space_group_name_H-M_alt 'P 1'
_space_group_IT_number 1
loop_
_space_group_symop_operation_xyz
'x,y,z'
loop_
_atom_site_label
_atom_site_type_symbol
_atom_site_fract_x
_atom_site_fract_y
_atom_site_fract_z
Sr1 Sr 0.000 0.000 0.000
Sr2 Sr 0.000 0.500 0.500
Sr3 Sr 0.500 0.000 0.500
Sr4 Sr 0.500 0.500 0.000
Ca1 Ca 0.000 0.000 0.500
Ca2 Ca 0.000 0.500 0.000
Ca3 Ca 0.500 0.000 0.000
Ca4 Ca 0.500 0.500 0.500
P1 P 0.250 0.250 0.750
P2 P 0.250 0.750 0.250
P3 P 0.750 0.250 0.250
P4 P 0.750 0.750 0.750
Pd1 Pd 0.250 0.250 0.250
Pd2 Pd 0.250 0.750 0.750
Pd3 Pd 0.750 0.250 0.750
Pd4 Pd 0.750 0.750 0.250
```